1.
A plane-wave DFT calculation with GGA-PBE was carried out for crystalline MgTaMnTl2 at its relaxed geometry.

Properties
formation energy from the elements: 1.283 eV/atom
Fermi-level density of states: 0.751 states/eV/atom
raw total energy: -4.1866 eV/atom
calculated volume: 30.19 Å³/atom

Unit cell a=5.3439 b=5.2859 c=5.3439 alpha=90.00 beta=90.00 gamma=90.00
Each line ends with the local moment (μB).
Positions (direct):
Tl (0.0000, 0.0000, 0.5000)  -0.04
Tl (0.5000, 0.0000, 0.0000)  -0.01
Mn (0.5000, 0.5000, 0.5000)  4.38
Ta (0.0000, 0.0000, 0.0000)  -0.23
Mg (0.0000, 0.5000, 0.0000)  -0.02

---

2.
A plane-wave DFT calculation with GGA-PBE was carried out for crystalline In2Ge2S at its relaxed geometry.

Properties
energy above the lowest structure with this stoichiometry: 0.47 kcal/mol of atoms
Fermi-level density of states: 0.552 states/eV/atom
raw total energy: -3.5942 eV/atom
raw formation energy: 174 meV per atom
calculated volume: 23.85 Å³/atom

Unit cell a=7.6106 b=7.6106 c=4.1172 alpha=90.00 beta=90.00 gamma=90.00
Positions (direct):
In (0.8113, 0.6887, 0.0000)
Ge (0.8865, 0.3865, 0.5000)
S (0.5000, 0.5000, 0.0000)
In (0.3113, 0.8113, 0.0000)
Ge (0.1135, 0.6135, 0.5000)
In (0.1887, 0.3113, 0.0000)
Ge (0.3865, 0.1135, 0.5000)
Ge (0.6135, 0.8865, 0.5000)
S (0.0000, 0.0000, 0.0000)
In (0.6887, 0.1887, 0.0000)